[1]
! NdDy2Tl3Te6 | Alexandria | PBE | relaxed; values from VASP
! Uncorrected energy = -4.39 eV/atom
! SG = C2/m, No. 12
&SYSTEM
  ibrav = 0, nat = 12, ntyp = 4
/
ATOMIC_SPECIES
Nd 144.24 Nd.upf
Dy 162.50 Dy.upf
Tl 204.38 Tl.upf
Te 127.60 Te.upf
ATOMIC_POSITIONS crystal
Nd 0.000 0.000 0.000
Dy 0.333 0.667 0.000
Dy 0.667 0.333 0.000
Tl 0.164 0.836 0.500
Tl 0.836 0.164 0.500
Tl 0.500 0.500 0.500
Te 0.928 0.587 0.784
Te 0.730 0.730 0.214
Te 0.072 0.413 0.216
Te 0.587 0.928 0.784
Te 0.270 0.270 0.786
Te 0.413 0.072 0.216
CELL_PARAMETERS angstrom
7.780 -0.001 0.001
-3.889 6.738 0.001
-1.297 -2.245 8.183

[2]
! In2PbBr | Alexandria | PBE | relaxed; values from VASP
! Energy relative to the lowest polymorph listed for this composition = 130.1 meV/atom
! SG = I-4m2, No. 119
&SYSTEM
  ibrav = 0, nat = 4, ntyp = 3
/
ATOMIC_SPECIES
Pb 207.20 Pb.upf
Br 79.90 Br.upf
In 114.82 In.upf
ATOMIC_POSITIONS crystal
Pb 0.500 0.500 0.000
Br 0.750 0.250 0.500
In 0.000 0.000 0.000
In 0.250 0.750 0.500
CELL_PARAMETERS angstrom
6.488 0.513 0.000
2.715 5.915 0.000
-4.602 -3.214 3.294

[3]
! La3Sm2Sc | Alexandria | PBE | relaxed; values from VASP
! Formation enthalpy at 0 K = 0.05 eV/atom
! SG = C2/c, No. 15
&SYSTEM
  ibrav = 0, nat = 12, ntyp = 3
/
ATOMIC_SPECIES
La 138.91 La.upf
Sm 150.36 Sm.upf
Sc 44.96 Sc.upf
ATOMIC_POSITIONS crystal
La 0.375 0.000 0.750
La 0.625 0.000 0.250
La 0.960 0.671 0.920
La 0.290 0.329 0.579
La 0.710 0.671 0.421
La 0.040 0.329 0.080
Sm 0.205 0.661 0.411
Sm 0.455 0.661 0.911
Sm 0.545 0.339 0.089
Sm 0.795 0.339 0.589
Sc 0.125 0.000 0.250
Sc 0.875 0.000 0.750
CELL_PARAMETERS angstrom
-2.261 -6.824 0.670
1.450 2.805 -5.433
9.967 -2.674 6.139

[4]
! YMg3Co | Alexandria | PBE | relaxed; values from VASP
! Energy relative to the lowest polymorph listed for this composition = 201.3 meV/atom
! Formation enthalpy at 0 K = 0.14 eV/atom
! SG = Pm-3m, No. 221
&SYSTEM
  ibrav = 0, nat = 5, ntyp = 3
/
ATOMIC_SPECIES
Y 88.91 Y.upf
Mg 24.30 Mg.upf
Co 58.93 Co.upf
ATOMIC_POSITIONS crystal
Y 0.500 0.500 0.500
Mg 0.000 0.500 0.000
Mg 0.000 0.000 0.500
Mg 0.500 0.000 0.000
Co 0.000 0.000 0.000
CELL_PARAMETERS angstrom
4.819 0.000 0.000
0.000 4.819 0.000
0.000 0.000 4.819

[5]
! Ga2Bi2F | Alexandria | PBE | relaxed; values from VASP
! Energy relative to the lowest polymorph listed for this composition = 0.0 meV/atom
! SG = I4/mmm, No. 139
&SYSTEM
  ibrav = 0, nat = 5, ntyp = 3
/
ATOMIC_SPECIES
Bi 208.98 Bi.upf
Ga 69.72 Ga.upf
F 19.00 F.upf
ATOMIC_POSITIONS crystal
Bi 0.388 0.388 0.223
Bi 0.612 0.612 0.777
Ga 0.750 0.250 0.500
Ga 0.250 0.750 0.500
F 0.000 0.000 0.000
CELL_PARAMETERS angstrom
-3.533 1.790 -0.167
-1.431 -3.023 -2.126
-4.573 -4.146 5.279

[6]
! LiRu2W | Alexandria | PBE | relaxed; values from VASP
! Energy relative to the lowest polymorph listed for this composition = 273.9 meV/atom
! Formation enthalpy at 0 K = 0.22 eV/atom
! SG = Cmmm, No. 65
&SYSTEM
  ibrav = 0, nat = 4, ntyp = 3
/
ATOMIC_SPECIES
Li 6.94 Li.upf
Ru 101.07 Ru.upf
W 183.84 W.upf
ATOMIC_POSITIONS crystal
Li 0.500 0.500 0.750
Ru 0.000 0.000 0.004
Ru 0.000 0.000 0.496
W 0.500 0.500 0.250
CELL_PARAMETERS angstrom
2.705 0.012 0.000
-1.093 2.474 0.000
0.000 0.000 8.817

[7]
! Li2HoAg2 | Alexandria | PBE | relaxed; values from VASP
! Formation enthalpy at 0 K = -0.16 eV/atom
! SG = C2/c, No. 15
&SYSTEM
  ibrav = 0, nat = 10, ntyp = 3
/
ATOMIC_SPECIES
Li 6.94 Li.upf
Ho 164.93 Ho.upf
Ag 107.87 Ag.upf
ATOMIC_POSITIONS crystal
Li 0.213 0.204 0.552
Li 0.970 0.296 0.948
Li 0.787 0.796 0.448
Li 0.030 0.704 0.052
Ho 0.421 0.750 0.250
Ho 0.579 0.250 0.750
Ag 0.467 0.769 0.840
Ag 0.924 0.269 0.340
Ag 0.533 0.231 0.160
Ag 0.076 0.731 0.660
CELL_PARAMETERS angstrom
-1.808 5.484 2.459
-5.333 0.987 1.887
-0.791 -0.113 7.680

[8]
! CrCdAu2 | Alexandria | PBE | relaxed; values from VASP
! Formation enthalpy at 0 K = 0.12 eV/atom
! SG = P4mm, No. 99
&SYSTEM
  ibrav = 0, nat = 4, ntyp = 3
/
ATOMIC_SPECIES
Au 196.97 Au.upf
Cd 112.41 Cd.upf
Cr 52.00 Cr.upf
ATOMIC_POSITIONS crystal
Au 0.000 0.000 0.985
Au 0.500 0.500 0.244
Cd 0.000 0.000 0.505
Cr 0.500 0.500 0.765
CELL_PARAMETERS angstrom
-0.543 2.947 -0.774
-1.063 -0.921 -2.757
-7.044 -0.537 2.896

[9]
! BeFe2As | Alexandria | PBE | relaxed; values from VASP
! Energy relative to the lowest polymorph listed for this composition = 81.4 meV/atom
! Formation enthalpy at 0 K = -0.04 eV/atom
! SG = P4mm, No. 99
&SYSTEM
  ibrav = 0, nat = 4, ntyp = 3
/
ATOMIC_SPECIES
Be 9.01 Be.upf
As 74.92 As.upf
Fe 55.84 Fe.upf
ATOMIC_POSITIONS crystal
Be 0.500 0.500 0.778
As 0.000 0.000 0.494
Fe 0.000 0.000 0.977
Fe 0.500 0.500 0.252
CELL_PARAMETERS angstrom
3.031 0.000 0.000
0.000 3.031 0.000
0.000 0.000 4.970

[10]
! TaSI2O6 | Alexandria | PBE | relaxed; values from VASP
! Uncorrected energy = -5.81 eV/atom
! SG = P-1, No. 2
&SYSTEM
  ibrav = 0, nat = 10, ntyp = 4
/
ATOMIC_SPECIES
Ta 180.95 Ta.upf
S 32.06 S.upf
I 126.90 I.upf
O 16.00 O.upf
ATOMIC_POSITIONS crystal
Ta 0.000 0.000 0.000
S 0.500 0.500 0.000
I 0.730 0.100 0.602
I 0.270 0.900 0.398
O 0.274 0.131 0.739
O 0.728 0.652 0.031
O 0.246 0.678 0.081
O 0.754 0.322 0.919
O 0.272 0.348 0.969
O 0.726 0.869 0.261
CELL_PARAMETERS angstrom
5.010 0.035 0.624
0.049 4.757 0.825
3.254 3.283 8.131

[11]
! Tb2PrY6Tm3 | Alexandria | PBE | relaxed; values from VASP
! Formation enthalpy at 0 K = 0.02 eV/atom
! SG = C2/m, No. 12
&SYSTEM
  ibrav = 0, nat = 12, ntyp = 4
/
ATOMIC_SPECIES
Tb 158.93 Tb.upf
Pr 140.91 Pr.upf
Y 88.91 Y.upf
Tm 168.93 Tm.upf
ATOMIC_POSITIONS crystal
Tb 0.333 0.667 0.000
Tb 0.667 0.333 0.000
Pr 0.000 0.000 0.000
Y 0.915 0.581 0.747
Y 0.751 0.751 0.253
Y 0.085 0.419 0.253
Y 0.581 0.915 0.747
Y 0.249 0.249 0.747
Y 0.419 0.085 0.253
Tm 0.167 0.833 0.500
Tm 0.833 0.167 0.500
Tm 0.500 0.500 0.500
CELL_PARAMETERS angstrom
-2.767 -5.302 1.503
3.102 0.456 -5.310
9.576 -1.928 6.620

[12]
! PaMnSe2N | Alexandria | PBE | relaxed; values from VASP
! Uncorrected energy = -8.00 eV/atom
! SG = P4/nmm, No. 129
&SYSTEM
  ibrav = 0, nat = 10, ntyp = 4
/
ATOMIC_SPECIES
Pa 231.04 Pa.upf
Mn 54.94 Mn.upf
Se 78.96 Se.upf
N 14.01 N.upf
ATOMIC_POSITIONS crystal
Pa 0.500 0.000 0.594
Pa 0.000 0.500 0.406
Mn 0.500 0.000 0.097
Mn 0.000 0.500 0.903
Se 0.000 0.500 0.702
Se 0.000 0.500 0.103
Se 0.500 0.000 0.897
Se 0.500 0.000 0.298
N 0.000 0.000 0.500
N 0.500 0.500 0.500
CELL_PARAMETERS angstrom
3.834 0.000 0.000
0.000 3.834 0.000
0.000 0.000 13.227

no.,M_tot (μB/cell)
1,0.00
2,0.00
3,0.00
4,0.45
5,0.00
6,0.00
7,0.00
8,3.82
9,3.57
10,0.00
11,0.00
12,9.81